VASP calculation (PBE with a Hubbard U) on a relaxed ErBeCrO4 crystal.

```
ErBeCrO4
1.0
5.849 0.000 0.000
2.924 5.452 -0.229
2.924 1.443 5.262
O Cr Er Be
8 2 2 2
Direct
0.746 0.208 0.300
0.255 0.753 0.253
0.745 0.247 0.747
0.260 0.247 0.747
0.254 0.792 0.700
0.254 0.200 0.292
0.746 0.800 0.708
0.740 0.753 0.253
0.500 0.000 0.500
0.000 0.000 0.500
0.000 0.500 0.500
0.000 0.000 0.000
0.439 0.311 0.811
0.561 0.689 0.189
```

Output
The total energy is -7.591 eV per atom. Its space group is Imma (74). For the density of states at the Fermi level, the calculation gives 0.00 states/eV/f.u. As for the theoretical density: 5.7 g/cm³.

***

VASP calculation (PBE with a Hubbard U) on a relaxed BeCr2F crystal.

```
BeCr2F
1.0
6.299 0.000 0.000
0.000 6.299 0.000
3.149 3.149 3.107
Cr Be F
4 2 2
Direct
0.875 0.909 0.750
0.091 0.625 0.250
0.375 0.341 0.750
0.659 0.125 0.250
0.250 0.750 0.500
0.500 0.500 0.000
0.750 0.250 0.500
0.000 0.000 0.000
```

Output
Its space group is I-42d (122). For the density of states at the Fermi level, the calculation gives 1.21 states/eV/f.u. As for the theoretical density: 3.6 g/cm³. The energy above the most stable polymorph in this dataset comes out at 0.000 eV per formula unit.

***

VASP calculation (PBE with a Hubbard U) on a relaxed BeCrF2 crystal.

```
BeCrF2
1.0
-7.956 3.058 1.068
-8.309 0.613 2.090
-7.348 2.578 3.627
F Be Cr
2 1 1
Direct
0.868 0.868 0.868
0.132 0.132 0.132
0.500 0.500 0.500
0.000 0.000 0.000
```

Output
Its space group is R-3m (166). For the density of states at the Fermi level, the calculation gives 3.19 states/eV/f.u. As for the theoretical density: 3.1 g/cm³. The energy above the most stable polymorph in this dataset comes out at 2.517 eV per formula unit.